An optimized crystal structure of Tb3GaFeS7. Source: Alexandria via LeMat-Bulk, functional PBE. Values from VASP.

## Properties
DFT total energy = -5.995 eV/atom
total magnetic moment = 8.05 μB per cell

Structure (Quantum ESPRESSO input):
```
&SYSTEM
  ibrav = 0, nat = 24, ntyp = 4
/
ATOMIC_SPECIES
Tb 158.93 Tb.upf
Ga 69.72 Ga.upf
Fe 55.84 Fe.upf
S 32.06 S.upf
CELL_PARAMETERS angstrom
9.672 0.000 0.000
-4.836 8.376 0.000
0.000 0.000 6.170
ATOMIC_POSITIONS crystal
Tb 0.154 0.777 0.000
Tb 0.223 0.377 0.000
Tb 0.377 0.154 0.500
Tb 0.623 0.846 0.000
Tb 0.777 0.623 0.500
Tb 0.846 0.223 0.500
Ga 0.333 0.667 0.575
Ga 0.667 0.333 0.075
Fe 0.000 0.000 0.172
Fe 0.000 0.000 0.672
S 0.088 0.519 0.733
S 0.102 0.865 0.409
S 0.135 0.236 0.409
S 0.236 0.102 0.909
S 0.333 0.667 0.208
S 0.430 0.912 0.733
S 0.481 0.570 0.733
S 0.519 0.430 0.233
S 0.570 0.088 0.233
S 0.667 0.333 0.708
S 0.764 0.898 0.409
S 0.865 0.764 0.909
S 0.898 0.135 0.909
S 0.912 0.481 0.233
```